Record 1
Here is a relaxed Dy4Er3ThS8 crystal from the Alexandria database. Energies are from PBE.

Summary:
uncorrected formation energy	-1.943	eV/atom
ρ	8.05	Mg/m³

abc: 7.8276 7.8276 19.1283
angles: 90.00 90.00 120.00
Space group R-3m (No. 166, hexagonal axes)
One atom of each set of equivalent atoms:
Dy (0.0000, 0.0000, 0.0000) [3 per cell]
Dy (0.0000, 0.5000, 0.0000) [9 per cell]
Er (0.0000, 0.5000, 0.5000) [9 per cell]
Th (0.0000, 0.0000, 0.5000) [3 per cell]
S (0.0000, 0.0000, 0.2486) [6 per cell]
S (0.0078, 0.5039, 0.7495) [18 per cell]

---

Record 2
Here is a relaxed Dy3Er2ThS6 crystal from the Alexandria database. Energies are from PBE.

Summary:
uncorrected formation energy	-1.942	eV/atom
ρ	8.11	Mg/m³

abc: 17.051 3.910 7.861
angles: 90.00 102.94 90.00
Space group C2/m (No. 12)
One atom of each set of equivalent atoms:
Dy (0.000, 0.000, 0.000) [2 per cell]
Dy (0.162, 0.500, 0.334) [4 per cell]
Er (0.165, 0.500, 0.830) [4 per cell]
Th (0.000, 0.000, 0.500) [2 per cell]
S (0.002, 0.500, 0.762) [4 per cell]
S (0.169, 0.000, 0.081) [4 per cell]
S (0.172, 0.000, 0.590) [4 per cell]

---

Record 3
Here is a relaxed Dy2Er3ThS6 crystal from the Alexandria database. Energies are from PBE.

Summary:
uncorrected formation energy	-1.937	eV/atom
ρ	8.18	Mg/m³

abc: 17.063 3.901 7.849
angles: 90.00 103.58 90.00
Space group C2/m (No. 12)
One atom of each set of equivalent atoms:
Dy (0.164, 0.000, 0.329) [4 per cell]
Er (0.000, 0.500, 0.500) [2 per cell]
Er (0.164, 0.000, 0.834) [4 per cell]
Th (0.000, 0.500, 0.000) [2 per cell]
S (0.001, 0.000, 0.737) [4 per cell]
S (0.167, 0.500, 0.586) [4 per cell]
S (0.173, 0.500, 0.084) [4 per cell]

---

Record 4
Here is a relaxed Dy2ErTl3S6 crystal from the Alexandria database. Energies are from PBE.

Summary:
uncorrected formation energy	-1.490	eV/atom
ρ	6.83	Mg/m³

abc: 6.961 12.057 7.873
angles: 90.00 107.15 90.00
Space group C2/m (No. 12)
One atom of each set of equivalent atoms:
Dy (0.000, 0.167, 0.000) [4 per cell]
Er (0.000, 0.500, 0.000) [2 per cell]
Tl (0.000, 0.000, 0.500) [2 per cell]
Tl (0.000, 0.333, 0.500) [4 per cell]
S (0.231, 0.334, 0.197) [8 per cell]
S (0.235, 0.000, 0.198) [4 per cell]

---

Record 5
Here is a relaxed Dy3ErTl4S8 crystal from the Alexandria database. Energies are from PBE.

Summary:
uncorrected formation energy	-1.490	eV/atom
ρ	6.81	Mg/m³

abc: 8.0446 8.0446 22.5665
angles: 90.00 90.00 120.00
Space group R-3m (No. 166, hexagonal axes)
One atom of each set of equivalent atoms:
Dy (0.0000, 0.5000, 0.0000) [9 per cell]
Er (0.0000, 0.0000, 0.0000) [3 per cell]
Tl (0.0000, 0.0000, 0.5000) [3 per cell]
Tl (0.0000, 0.5000, 0.5000) [9 per cell]
S (0.0000, 0.0000, 0.2674) [6 per cell]
S (0.0019, 0.5010, 0.7324) [18 per cell]

---

Record 6
Here is a relaxed DyErTm2S6 crystal from the Alexandria database. Energies are from PBE.

Summary:
uncorrected formation energy	-2.063	eV/atom
ρ	5.75	Mg/m³

abc: 6.8396 6.8396 18.3798
angles: 90.00 90.00 120.00
Space group R3 (No. 146, hexagonal axes)
One atom of each set of equivalent atoms:
Dy (0.0000, 0.0000, 0.0000) [3 per cell]
Er (0.0000, 0.0000, 0.4989) [3 per cell]
Tm (0.0000, 0.0000, 0.2993) [3 per cell]
Tm (0.0000, 0.0000, 0.8000) [3 per cell]
S (0.0035, 0.3045, 0.8982) [9 per cell]
S (0.0067, 0.7029, 0.3985) [9 per cell]